Here is crystalline YEr5Ni2 at its relaxed geometry from Alexandria. Energies are from GGA-PBE.

Computed properties:
Formation energy: -0.169 eV/atom

Cell: 3.597 12.965 18.173 Å, 90.00 90.00 90.00°
Space group Cmcm (No. 63)
Asymmetric unit:
Y  0.000  0.212  0.250 x4
Er  0.000  0.065  0.750 x4
Er  0.000  0.175  0.060 x8
Er  0.000  0.438  0.086 x8
Ni  0.000  0.205  0.637 x8